Record 1
Li3Ni4O8: relaxed, PBE with a Hubbard U.

a b c (Å): 5.7986 5.7986 5.0930
angles (deg): 107.62 107.62 58.60
Fractional coordinates of all 15 atoms:
1 Li 0.0000 0.0000 0.0000
2 Li 0.5005 0.0007 0.9955
3 Li 0.9993 0.4995 0.0045
4 Ni 0.2500 0.2538 0.5080
5 Ni 0.2506 0.7494 0.5000
6 Ni 0.7462 0.7500 0.4920
7 Ni 0.7473 0.2527 0.5000
8 O 0.0945 0.6158 0.7207
9 O 0.1397 0.1145 0.7176
10 O 0.3557 0.3843 0.2961
11 O 0.3842 0.9055 0.2793
12 O 0.6157 0.6443 0.7039
13 O 0.6173 0.1016 0.7156
14 O 0.8855 0.8603 0.2824
15 O 0.8984 0.3827 0.2844

Computed properties:
As for the crystal system: monoclinic. The value obtained for the offset from the most stable computed form is 0.004 eV/atom.

---

Record 2
LiNiO2: relaxed, PBE with a Hubbard U.

a b c (Å): 5.0317 5.0317 5.0353
angles (deg): 99.10 99.10 120.55
Fractional coordinates of all 12 atoms:
1 Li 0.0000 0.0000 0.0000
2 Li 0.3338 0.6662 0.0000
3 Li 0.6662 0.3338 0.0000
4 Ni 0.1666 0.8334 0.5000
5 Ni 0.5000 0.5000 0.5000
6 Ni 0.8334 0.1666 0.5000
7 O 0.0721 0.4172 0.2776
8 O 0.2294 0.2294 0.7300
9 O 0.4172 0.0721 0.2776
10 O 0.5828 0.9279 0.7224
11 O 0.7706 0.7706 0.2700
12 O 0.9279 0.5828 0.7224

Computed properties:
The total energy is -4.864 eV/atom. As for the crystal system: monoclinic.

---

Record 3
LiNi2O2: relaxed, PBE with a Hubbard U.

a b c (Å): 4.9075 4.9075 4.9075
angles (deg): 145.57 131.17 61.11
Fractional coordinates of all 5 atoms:
1 Li 0.0000 0.0000 0.0000
2 Ni 0.3396 0.3396 0.0000
3 Ni 0.6604 0.6604 0.0000
4 O 0.1693 0.6693 0.5000
5 O 0.8307 0.3307 0.5000

Computed properties:
The total energy is -4.320 eV/atom. As for the crystal system: orthorhombic.

---

Record 4
LiNi2O3: relaxed, PBE with a Hubbard U.

a b c (Å): 5.0785 5.0785 5.0785
angles (deg): 146.42 132.50 59.42
Fractional coordinates of all 6 atoms:
1 Li 0.0000 0.0000 0.0000
2 Ni 0.3364 0.3364 0.0000
3 Ni 0.6636 0.6636 0.0000
4 O 0.1783 0.6783 0.5000
5 O 0.5000 0.0000 0.5000
6 O 0.8217 0.3217 0.5000

Computed properties:
As for the crystal system: orthorhombic. The value obtained for the offset from the most stable computed form is 0.005 eV/atom.

---

Record 5
Li3Ni4O8: relaxed, PBE with a Hubbard U.

a b c (Å): 5.8114 5.8114 5.8160
angles (deg): 119.65 119.65 57.58
Fractional coordinates of all 15 atoms:
1 Li 0.0000 0.0000 0.0000
2 Li 0.0000 0.5000 0.0000
3 Li 0.5000 0.0000 0.0000
4 Ni 0.0000 0.0000 0.5000
5 Ni 0.0000 0.5000 0.5000
6 Ni 0.5000 0.0000 0.5000
7 Ni 0.5000 0.5000 0.5000
8 O 0.2233 0.2233 0.7050
9 O 0.2457 0.7526 0.2806
10 O 0.2474 0.7543 0.7194
11 O 0.2477 0.2477 0.2801
12 O 0.7523 0.7523 0.7199
13 O 0.7526 0.2457 0.2806
14 O 0.7543 0.2474 0.7194
15 O 0.7767 0.7767 0.2950

Computed properties:
As for the crystal system: monoclinic. The value obtained for the offset from the most stable computed form is 0.000 eV/atom.

---

Record 6
Li3Ni4O8: relaxed, PBE with a Hubbard U.

a b c (Å): 5.7731 5.7731 5.6018
angles (deg): 118.29 118.29 93.28
Fractional coordinates of all 15 atoms:
1 Li 0.0000 0.0000 0.0000
2 Li 0.0000 0.5000 0.0000
3 Li 0.5000 0.0000 0.0000
4 Ni 0.0000 0.5000 0.5000
5 Ni 0.5000 0.0000 0.5000
6 Ni 0.5000 0.5000 0.0000
7 Ni 0.5000 0.5000 0.5000
8 O 0.2733 0.7267 0.0000
9 O 0.2775 0.7225 0.5000
10 O 0.2792 0.2792 0.0371
11 O 0.2801 0.2801 0.5322
12 O 0.7199 0.7199 0.4678
13 O 0.7208 0.7208 0.9629
14 O 0.7225 0.2775 0.5000
15 O 0.7267 0.2733 0.0000

Computed properties:
As for the crystal system: monoclinic. The value obtained for the offset from the most stable computed form is 0.046 eV/atom.

---

Record 7
Li47Ni8O32: relaxed, PBE with a Hubbard U.

a b c (Å): 9.1526 9.4028 9.4078
angles (deg): 89.81 89.91 89.97
Fractional coordinates of all 87 atoms:
1 Li 0.0000 0.0000 0.0000
2 Li 0.9998 0.2245 0.7756
3 Li 0.0034 0.7313 0.0257
4 Li 0.0266 0.4912 0.5314
5 Li 0.0273 0.9941 0.2656
6 Li 0.1989 0.4931 0.0302
7 Li 0.2080 0.9919 0.7644
8 Li 0.2320 0.7277 0.5180
9 Li 0.2327 0.2281 0.2776
10 Li 0.2332 0.4998 0.2955
11 Li 0.2336 0.9983 0.4991
12 Li 0.2463 0.4785 0.7649
13 Li 0.2467 0.9779 0.0326
14 Li 0.2493 0.7645 0.2773
15 Li 0.2503 0.2318 0.7567
16 Li 0.2524 0.2641 0.5186
17 Li 0.2523 0.7309 0.0401
18 Li 0.4698 0.4698 0.0194
19 Li 0.4824 0.0050 0.5397
20 Li 0.4825 0.5005 0.2585
21 Li 0.4844 0.7588 0.5314
22 Li 0.4854 0.2562 0.2641
23 Li 0.4847 0.9667 0.7770
24 Li 0.4988 0.2316 0.7963
25 Li 0.5001 0.7373 0.9962
26 Li 0.5009 0.0059 0.0180
27 Li 0.5157 0.5082 0.7758
28 Li 0.5244 0.7427 0.2664
29 Li 0.5281 0.2439 0.5326
30 Li 0.7076 0.2366 0.0340
31 Li 0.7113 0.7235 0.7652
32 Li 0.7293 0.2378 0.3018
33 Li 0.7300 0.7386 0.5017
34 Li 0.7331 0.0078 0.5193
35 Li 0.7345 0.5080 0.2880
36 Li 0.7475 0.2712 0.7645
37 Li 0.7484 0.7590 0.0384
38 Li 0.7494 0.4802 0.5481
39 Li 0.7499 0.9728 0.2776
40 Li 0.7510 0.0020 0.0396
41 Li 0.9821 0.2343 0.2531
42 Li 0.9816 0.7307 0.5421
43 Li 0.9832 0.2653 0.0140
44 Li 0.9844 0.4942 0.7931
45 Li 0.9873 0.4835 0.2624
46 Li 0.9869 0.7635 0.7806
47 Li 0.9878 0.9767 0.5356
48 Ni 0.2672 0.2401 0.0181
49 Ni 0.2689 0.7395 0.7770
50 Ni 0.4637 0.4959 0.5186
51 Ni 0.4652 0.9949 0.2773
52 Ni 0.7541 0.4940 0.0109
53 Ni 0.7665 0.9938 0.7785
54 Ni 0.9649 0.7421 0.2818
55 Ni 0.9692 0.2389 0.5162
56 O 0.1016 0.3524 0.3865
57 O 0.1025 0.8541 0.4072
58 O 0.1150 0.6289 0.1684
59 O 0.1161 0.1252 0.6290
60 O 0.1164 0.6267 0.6677
61 O 0.1174 0.1279 0.1303
62 O 0.1299 0.3508 0.8893
63 O 0.1308 0.8521 0.9074
64 O 0.3452 0.3758 0.1597
65 O 0.3462 0.8773 0.6369
66 O 0.3564 0.1003 0.8881
67 O 0.3560 0.6019 0.9097
68 O 0.3762 0.6341 0.3843
69 O 0.3770 0.1337 0.4081
70 O 0.3882 0.3573 0.6607
71 O 0.3876 0.8581 0.1367
72 O 0.6021 0.3823 0.3909
73 O 0.6031 0.8843 0.4053
74 O 0.6043 0.6173 0.6252
75 O 0.6154 0.1086 0.1664
76 O 0.6191 0.1092 0.6669
77 O 0.6210 0.6041 0.1277
78 O 0.6250 0.3792 0.9061
79 O 0.6329 0.8786 0.9077
80 O 0.8458 0.3706 0.1476
81 O 0.8489 0.8559 0.6412
82 O 0.8545 0.1342 0.9100
83 O 0.8598 0.6269 0.9097
84 O 0.8766 0.1043 0.3855
85 O 0.8771 0.6025 0.4121
86 O 0.8862 0.8782 0.1398
87 O 0.8937 0.3680 0.6552

Computed properties:
The total energy is -4.740 eV/atom. As for the crystal system: triclinic.

---

Record 8
LiNi3O: relaxed, PBE with a Hubbard U.

a b c (Å): 3.9336 3.9336 3.9336
angles (deg): 90.00 90.00 90.00
Fractional coordinates of all 5 atoms:
1 Li 0.0000 0.0000 0.0000
2 Ni 0.0000 0.5000 0.5000
3 Ni 0.5000 0.0000 0.5000
4 Ni 0.5000 0.5000 0.0000
5 O 0.5000 0.5000 0.5000

Computed properties:
As for the crystal system: cubic. The value obtained for the offset from the most stable computed form is 0.000 eV/atom.